# 1
In2Pd4Pt: optimized geometry, PBE.

The calculation puts the polymorph energy (0 for the lowest one) at 748.5 meV per atom. The value obtained for the density of states at the Fermi level is 7.6 states/eV per cell. The value obtained for the formation energy is 0.404 eV per atom.

Structure (POSCAR):
```
In2Pd4Pt
1.0
-2.452 2.452 6.760
2.452 -2.452 6.760
2.452 2.452 -6.760
In Pd Pt
2 4 1
direct
0.116 0.116 0.000
0.884 0.884 0.000
0.000 0.500 0.500
0.305 0.305 0.000
0.500 0.000 0.500
0.695 0.695 0.000
0.500 0.500 0.000
```

***

# 2
In2Pd3Pt7: optimized geometry, PBE.

The value obtained for the density of states at the Fermi level is 12.0 states/eV per cell. The value obtained for the formation energy is -0.097 eV per atom.

Structure (POSCAR):
```
In2Pd3Pt7
1.0
4.637 0.000 0.000
0.000 2.831 0.000
-2.069 0.000 15.665
In Pd Pt
2 3 7
direct
0.154 0.000 0.296
0.846 0.000 0.704
0.000 0.000 0.000
0.307 0.500 0.626
0.693 0.500 0.374
0.227 0.500 0.152
0.233 0.000 0.462
0.279 0.000 0.847
0.500 0.500 0.000
0.721 0.000 0.153
0.767 0.000 0.538
0.773 0.500 0.848
```

***

# 3
InPdPt14: optimized geometry, PBE.

The value obtained for the density of states at the Fermi level is 27.6 states/eV per cell. The value obtained for the formation energy is -0.078 eV per atom.

Structure (POSCAR):
```
InPdPt14
1.0
9.371 0.000 0.000
0.000 2.792 4.859
0.000 -2.792 4.859
In Pd Pt
1 1 14
direct
0.000 0.000 0.000
0.000 0.501 0.501
0.000 0.000 0.502
0.000 0.502 0.000
0.249 0.665 0.665
0.250 0.166 0.166
0.251 0.166 0.664
0.251 0.664 0.166
0.500 0.330 0.330
0.500 0.330 0.830
0.500 0.830 0.330
0.500 0.830 0.830
0.749 0.166 0.664
0.749 0.664 0.166
0.750 0.166 0.166
0.751 0.665 0.665
```

***

# 4
In2PdPt4: optimized geometry, PBE.

The calculation puts the polymorph energy (0 for the lowest one) at 0.0 meV per atom. The value obtained for the density of states at the Fermi level is 4.6 states/eV per cell. The value obtained for the formation energy is -0.160 eV per atom.

Structure (POSCAR):
```
In2PdPt4
1.0
-1.831 1.831 9.644
1.831 -1.831 9.644
1.831 1.831 -9.644
In Pd Pt
2 1 4
direct
0.086 0.086 0.000
0.914 0.914 0.000
0.500 0.500 0.000
0.250 0.750 0.500
0.358 0.358 0.000
0.642 0.642 0.000
0.750 0.250 0.500
```